Compound: ZrTc2B
Source: the Open Quantum Materials Database
Functional: PBE-GGA
Structure: relaxed

Geometry as extended XYZ:
```
4
Lattice="-0.529 0.451 4.278 -3.895 1.015 1.606 -2.262 -2.951 2.226" Properties=species:S:1:pos:R:3 pbc="T T T"
B -3.343 -0.743 4.055
Tc 0.000 0.000 0.000
Tc -5.015 -1.115 6.083
Zr -1.672 -0.372 2.028
```

Values from the calculation:
Energy in Ry/atom: -0.636